A PBEsol-optimized structure of Ru5Pt. Source: Alexandria via LeMat-Bulk, functional meta-GGA SCAN.

Results
DFT formation energy	-6	meV/atom
V	13.52	Å³ per atom

```
data_Ru5Pt
_chemical_formula_sum 'Ru10 Pt2'
_space_group_name_H-M_alt 'A m m 2'
_space_group_IT_number 38
_cell_length_a 4.282
_cell_length_b 2.695
_cell_length_c 14.064
_cell_angle_alpha 90.00
_cell_angle_beta 90.00
_cell_angle_gamma 90.00
loop_
_space_group_symop_operation_xyz
'x,y,z'
'-x,-y,z'
'-x,y,z'
'x,-y,z'
'x,y+1/2,z+1/2'
'-x,-y+1/2,z+1/2'
'-x,y+1/2,z+1/2'
'x,-y+1/2,z+1/2'
loop_
_atom_site_label
_atom_site_fract_x
_atom_site_fract_y
_atom_site_fract_z
Ru1 0.000 0.000 0.000
Ru2 0.000 0.000 0.329
Ru3 0.000 0.000 0.664
Ru4 0.500 0.000 0.217
Ru5 0.500 0.000 0.558
Pt1 0.500 0.000 0.887
```

=====

A PBEsol-optimized structure of Ti2MnP3O12. Source: Alexandria via LeMat-Bulk, functional meta-GGA SCAN.

Results
ΔE_f (raw)	-2738	meV/atom
V	12.39	Å³ per atom

```
data_Ti2MnP3O12
_chemical_formula_sum 'Ti12 Mn6 P18 O72'
_space_group_name_H-M_alt 'R -3 c'
_space_group_IT_number 167
_space_group_name_Hall '-R 3 2"c'
_cell_length_a 8.6055
_cell_length_b 8.6055
_cell_length_c 20.8563
_cell_angle_alpha 90.00
_cell_angle_beta 90.00
_cell_angle_gamma 120.00
loop_
_atom_site_label
_atom_site_fract_x
_atom_site_fract_y
_atom_site_fract_z
Ti1 0.0000 0.0000 0.1446
Mn1 0.0000 0.0000 0.0000
P1 0.0000 0.2941 0.2500
O1 0.0048 0.1951 0.3104
O2 0.0188 0.1836 0.9228
```

=====

A PBEsol-optimized structure of MnCoSb2I. Source: Alexandria via LeMat-Bulk, functional meta-GGA SCAN.

Results
ΔE_f (raw)	573	meV/atom
V	24.85	Å³ per atom

```
data_MnCoSb2I
_chemical_formula_sum 'Mn1 Co1 Sb2 I1'
_space_group_name_H-M_alt 'P 4/m m m'
_space_group_IT_number 123
_space_group_name_Hall '-P 4 2'
_cell_length_a 4.791
_cell_length_b 4.791
_cell_length_c 5.411
_cell_angle_alpha 90.00
_cell_angle_beta 90.00
_cell_angle_gamma 90.00
loop_
_atom_site_label
_atom_site_fract_x
_atom_site_fract_y
_atom_site_fract_z
Mn1 0.000 0.000 0.000
Co1 0.500 0.500 0.500
Sb1 0.000 0.500 0.500
I1 0.500 0.500 0.000
```

=====

A PBEsol-optimized structure of ZnPtCl2. Source: Alexandria via LeMat-Bulk, functional meta-GGA SCAN.

Results
ΔE_f (raw)	-239	meV/atom
V	19.27	Å³ per atom

```
data_ZnPtCl2
_chemical_formula_sum 'Zn1 Pt1 Cl2'
_space_group_name_H-M_alt 'P 4 m m'
_space_group_IT_number 99
_cell_length_a 3.381
_cell_length_b 3.381
_cell_length_c 6.741
_cell_angle_alpha 90.00
_cell_angle_beta 90.00
_cell_angle_gamma 90.00
loop_
_space_group_symop_operation_xyz
'x,y,z'
'-y,x,z'
'-x,-y,z'
'y,-x,z'
'-x,y,z'
'y,x,z'
'x,-y,z'
'-y,-x,z'
loop_
_atom_site_label
_atom_site_fract_x
_atom_site_fract_y
_atom_site_fract_z
Zn1 0.000 0.000 0.000
Pt1 0.500 0.500 0.872
Cl1 0.000 0.000 0.627
Cl2 0.500 0.500 0.220
```

=====

A PBEsol-optimized structure of Zr2TaTc. Source: Alexandria via LeMat-Bulk, functional meta-GGA SCAN.

Results
DFT formation energy	-233	meV/atom
V	18.52	Å³ per atom

```
data_Zr2TaTc
_chemical_formula_sum 'Zr2 Ta1 Tc1'
_space_group_name_H-M_alt 'P 4 m m'
_space_group_IT_number 99
_cell_length_a 3.201
_cell_length_b 3.201
_cell_length_c 7.228
_cell_angle_alpha 90.00
_cell_angle_beta 90.00
_cell_angle_gamma 90.00
loop_
_space_group_symop_operation_xyz
'x,y,z'
'-y,x,z'
'-x,-y,z'
'y,-x,z'
'-x,y,z'
'y,x,z'
'x,-y,z'
'-y,-x,z'
loop_
_atom_site_label
_atom_site_fract_x
_atom_site_fract_y
_atom_site_fract_z
Zr1 0.000 0.000 0.000
Zr2 0.500 0.500 0.293
Ta1 0.000 0.000 0.565
Tc1 0.500 0.500 0.766
```

=====

A PBEsol-optimized structure of LiSe2Cl. Source: Alexandria via LeMat-Bulk, functional meta-GGA SCAN.

Results
ΔE_f (raw)	-110	meV/atom
V	19.69	Å³ per atom

```
data_LiSe2Cl
_chemical_formula_sum 'Li3 Se6 Cl3'
_space_group_name_H-M_alt 'R -3 m'
_space_group_IT_number 166
_space_group_name_Hall '-R 3 2"'
_cell_length_a 2.8712
_cell_length_b 2.8712
_cell_length_c 33.0890
_cell_angle_alpha 90.00
_cell_angle_beta 90.00
_cell_angle_gamma 120.00
loop_
_atom_site_label
_atom_site_fract_x
_atom_site_fract_y
_atom_site_fract_z
Li1 0.0000 0.0000 0.0000
Se1 0.0000 0.0000 0.2708
Cl1 0.0000 0.0000 0.5000
```

=====

A PBEsol-optimized structure of AlAg6. Source: Alexandria via LeMat-Bulk, functional meta-GGA SCAN.

Results
DFT formation energy	-49	meV/atom
V	16.33	Å³ per atom

```
data_AlAg6
_chemical_formula_sum 'Al2 Ag12'
_space_group_name_H-M_alt 'C 1 2/m 1'
_space_group_IT_number 12
_cell_length_a 8.931
_cell_length_b 4.077
_cell_length_c 6.345
_cell_angle_alpha 90.00
_cell_angle_beta 98.37
_cell_angle_gamma 90.00
loop_
_space_group_symop_operation_xyz
'x,y,z'
'-x,-y,-z'
'-x,y,-z'
'x,-y,z'
'x+1/2,y+1/2,z'
'-x+1/2,-y+1/2,-z'
'-x+1/2,y+1/2,-z'
'x+1/2,-y+1/2,z'
loop_
_atom_site_label
_atom_site_fract_x
_atom_site_fract_y
_atom_site_fract_z
Al1 0.000 0.000 0.000
Ag1 0.067 0.500 0.717
Ag2 0.143 0.000 0.421
Ag3 0.218 0.500 0.140
```

=====

A PBEsol-optimized structure of Sc2S3O12. Source: Alexandria via LeMat-Bulk, functional meta-GGA SCAN.

Results
ΔE_f (raw)	-2351	meV/atom
V	14.82	Å³ per atom

```
data_Sc2S3O12
_chemical_formula_sum 'Sc12 S18 O72'
_space_group_name_H-M_alt 'R -3 c'
_space_group_IT_number 167
_space_group_name_Hall '-R 3 2"c'
_cell_length_a 8.7783
_cell_length_b 8.7783
_cell_length_c 22.6483
_cell_angle_alpha 90.00
_cell_angle_beta 90.00
_cell_angle_gamma 120.00
loop_
_atom_site_label
_atom_site_fract_x
_atom_site_fract_y
_atom_site_fract_z
Sc1 0.0000 0.0000 0.1440
S1 0.0000 0.2859 0.2500
O1 0.0285 0.2058 0.9079
O2 0.0303 0.2056 0.1974
```

=====

A PBEsol-optimized structure of Eu2NiRuO6. Source: Alexandria via LeMat-Bulk, functional meta-GGA SCAN.

Results
ΔE_f (raw)	-2245	meV/atom
V	11.44	Å³ per atom

```
data_Eu2NiRuO6
_chemical_formula_sum 'Eu4 Ni2 Ru2 O12'
_space_group_name_H-M_alt 'P 1 21/c 1'
_space_group_IT_number 14
_cell_length_a 5.352
_cell_length_b 5.602
_cell_length_c 9.293
_cell_angle_alpha 90.00
_cell_angle_beta 124.81
_cell_angle_gamma 90.00
loop_
_space_group_symop_operation_xyz
'x,y,z'
'-x,-y,-z'
'-x,y+1/2,-z+1/2'
'x,-y+1/2,z+1/2'
loop_
_atom_site_label
_atom_site_fract_x
_atom_site_fract_y
_atom_site_fract_z
Eu1 0.233 0.062 0.249
Ni1 0.000 0.000 0.500
Ru1 0.500 0.000 0.000
O1 0.155 0.198 0.955
O2 0.260 0.706 0.953
O3 0.340 0.023 0.751
```

=====

A PBEsol-optimized structure of Zn2RuBr. Source: Alexandria via LeMat-Bulk, functional meta-GGA SCAN.

Results
ΔE_f (raw)	150	meV/atom
V	19.41	Å³ per atom

```
data_Zn2RuBr
_chemical_formula_sum 'Zn4 Ru2 Br2'
_space_group_name_H-M_alt 'C 1 m 1'
_space_group_IT_number 8
_cell_length_a 8.552
_cell_length_b 3.010
_cell_length_c 6.216
_cell_angle_alpha 90.00
_cell_angle_beta 103.91
_cell_angle_gamma 90.00
loop_
_space_group_symop_operation_xyz
'x,y,z'
'x,-y,z'
'x+1/2,y+1/2,z'
'x+1/2,-y+1/2,z'
loop_
_atom_site_label
_atom_site_fract_x
_atom_site_fract_y
_atom_site_fract_z
Zn1 0.000 0.000 0.000
Zn2 0.242 0.000 0.799
Ru1 0.244 0.500 0.121
Br1 0.343 0.000 0.451
```